1.
{"formula": "SnAsP2Cl", "functional": "SCAN", "state": "single point on PBEsol structure", "dft_energy_ev_per_atom": -16.016, "spacegroup": "P4/mmm", "raw_formation_energy_ev_per_fu": 4.807, "lattice_angstrom": [[5.015, 0.000, 0.000], [0.000, 5.015, 0.000], [0.000, 0.000, 4.815]], "species": ["Sn", "As", "P", "P", "Cl"], "frac_coords": [[0.000, 0.000, 0.000], [0.500, 0.500, 0.500], [0.000, 0.500, 0.000], [0.500, 0.000, 0.000], [0.000, 0.000, 0.500]]}

---

2.
{"formula": "ZrTlW", "functional": "SCAN", "state": "single point on PBEsol structure", "dft_energy_ev_per_atom": -56.241, "spacegroup": "F-43m", "ef_ev_per_atom": 1.340, "lattice_angstrom": [[0.000, 3.283, 3.283], [3.283, 0.000, 3.283], [3.283, 3.283, 0.000]], "species": ["Zr", "Tl", "W"], "frac_coords": [[0.000, 0.000, 0.000], [0.250, 0.250, 0.250], [0.750, 0.750, 0.750]]}

---

3.
{"formula": "LiMgNi3", "functional": "SCAN", "state": "single point on PBEsol structure", "dft_energy_ev_per_atom": -10.634, "spacegroup": "Pm-3m", "ef_ev_per_atom": 0.542, "lattice_angstrom": [[3.939, 0.000, 0.000], [0.000, 3.939, 0.000], [0.000, 0.000, 3.939]], "species": ["Li", "Mg", "Ni", "Ni", "Ni"], "frac_coords": [[0.000, 0.000, 0.000], [0.500, 0.500, 0.500], [0.000, 0.000, 0.500], [0.000, 0.500, 0.000], [0.500, 0.000, 0.000]]}

---

4.
{"formula": "HPt3O", "functional": "SCAN", "state": "single point on PBEsol structure", "dft_energy_ev_per_atom": -43.299, "spacegroup": "Pm-3m", "lattice_angstrom": [[3.894, 0.000, 0.000], [0.000, 3.894, 0.000], [0.000, 0.000, 3.894]], "species": ["H", "Pt", "Pt", "Pt", "O"], "frac_coords": [[0.000, 0.000, 0.000], [0.000, 0.000, 0.500], [0.000, 0.500, 0.000], [0.500, 0.000, 0.000], [0.500, 0.500, 0.500]]}